No. 1
# Sr4TlFe2O9

A crystal of Sr4TlFe2O9 relaxed with PBEsol (SCAN, Alexandria).

V (A^3/atom): 13.3
Space-group type: No. 42
ΔE_f (raw) (eV per atom): -2.301

a = 15.1186 Å, b = 3.7767 Å, c = 15.1175 Å
α = 82.84°, β = 14.35°, γ = 82.81°
Last column: nearest neighbours and their distance in Å.
Positions (direct):
Sr1 0.0847 0.9153 0.0847  9 O 2.53-2.68
Sr2 0.2049 0.7947 0.2053  9 O 2.50-2.68
Sr3 0.7947 0.2049 0.7951  9 O 2.50-2.68
Sr4 0.9153 0.0847 0.9153  9 O 2.53-2.68
Tl1 0.4882 0.4882 0.5118  5 O 2.42-2.68
Fe1 0.3536 0.6462 0.3538  6 O 1.89-1.93
Fe2 0.6462 0.3536 0.6464  6 O 1.89-1.93
O1 0.0355 0.0355 0.9645  3 Tl 2.42-2.68, 2 Sr 2.53
O2 0.1459 0.3536 0.1460  2 Fe 1.89
O3 0.2889 0.7110 0.2890  1 Fe 1.93
O4 0.3536 0.1459 0.3545  2 Fe 1.89
O5 0.4186 0.5829 0.4171  1 Fe 1.91
O6 0.5829 0.4186 0.5814  1 Fe 1.91
O7 0.6455 0.8540 0.6464  2 Fe 1.89
O8 0.7110 0.2889 0.7111  1 Fe 1.93
O9 0.8540 0.6455 0.8541  2 Fe 1.89


No. 2
# BeAg2Te

A crystal of BeAg2Te relaxed with PBEsol (SCAN, Alexandria).

V (A^3/atom): 18.9
Space-group type: No. 10
ΔE_f (raw) (eV per atom): 0.237

a = 4.3067 Å, b = 4.0925 Å, c = 4.3356 Å
α = 90.00°, β = 99.15°, γ = 90.00°
Last column: nearest neighbours and their distance in Å.
Positions (direct):
Be1 0.0000 0.0000 0.0000  4 Ag 2.44
Ag1 0.2012 0.5000 0.7977  2 Be 2.44, 1 Ag 2.65
Ag2 0.7988 0.5000 0.2023  2 Be 2.44, 1 Ag 2.65
Te1 0.5000 0.0000 0.5000  2 Be 2.80, 4 Ag 2.83


No. 3
# Ba2TcAg

A crystal of Ba2TcAg relaxed with PBEsol (SCAN, Alexandria).

V (A^3/atom): 28.2
Space-group type: No. 166
ΔE_f (meV/atom): 889

a = 3.6445 Å, b = 3.6445 Å, c = 29.3764 Å
α = 90.00°, β = 90.00°, γ = 120.00°
Last column: nearest neighbours and their distance in Å.
Positions (direct):
Ba1 0.0000 0.0000 0.2432  3 Tc 3.08, 3 Ag 3.38
Ba2 0.0000 0.0000 0.7568  3 Tc 3.08, 3 Ag 3.38
Ba3 0.3333 0.6667 0.4235  3 Tc 3.08, 3 Ag 3.38
Ba4 0.3333 0.6667 0.9098  3 Tc 3.08, 3 Ag 3.38
Ba5 0.6667 0.3333 0.0902  3 Tc 3.08, 3 Ag 3.38
Ba6 0.6667 0.3333 0.5765  3 Tc 3.08, 3 Ag 3.38
Tc1 0.0000 0.0000 0.5000  6 Ba 3.08
Tc2 0.3333 0.6667 0.1667  6 Ba 3.08
Tc3 0.6667 0.3333 0.8333  6 Ba 3.08
Ag1 0.0000 0.0000 0.0000  6 Ba 3.38, 6 Ag 3.64
Ag2 0.3333 0.6667 0.6667  6 Ba 3.38, 6 Ag 3.64
Ag3 0.6667 0.3333 0.3333  6 Ba 3.38, 6 Ag 3.64


No. 4
# Mn2InAu

A crystal of Mn2InAu relaxed with PBEsol (SCAN, Alexandria).

V (A^3/atom): 15.6
Space-group type: No. 123
ΔE_f (meV/atom): -266

a = 4.0054 Å, b = 4.0054 Å, c = 3.8941 Å
α = 90.00°, β = 90.00°, γ = 90.00°
Last column: nearest neighbours and their distance in Å.
Positions (direct):
Mn1 0.0000 0.5000 0.0000  4 In 2.79, 4 Au 2.79, 4 Mn 2.83
Mn2 0.5000 0.0000 0.0000  4 In 2.79, 4 Au 2.79, 4 Mn 2.83
In1 0.0000 0.0000 0.5000  8 Mn 2.79, 4 Au 2.83
Au1 0.5000 0.5000 0.5000  8 Mn 2.79, 4 In 2.83


Going through the records in order, we get total energy values of -18.16; -25.85; -35.49; -35.03 eV per atom.
Going through the records in order, we get total moment values of 7.37; 0.00; 0.00; 7.73 μB/f.u..